# PBE Tb6Y2ErMg, relaxed
data_Tb6Y2ErMg
_chemical_formula_sum 'Tb12 Y4 Er2 Mg2'
_space_group_name_H-M_alt 'P 1'
_space_group_IT_number 1
_space_group_name_Hall 'P 1'
_cell_length_a 10.922
_cell_length_b 10.922
_cell_length_c 6.611
_cell_angle_alpha 94.58
_cell_angle_beta 94.58
_cell_angle_gamma 125.63
loop_
_atom_site_label
_atom_site_fract_x
_atom_site_fract_y
_atom_site_fract_z
_atom_site_occupancy
Tb1 0.082 0.565 0.280 1
Tb2 0.084 0.793 0.966 1
Tb3 0.207 0.916 0.534 1
Tb4 0.297 0.469 0.025 1
Tb5 0.435 0.918 0.220 1
Tb6 0.469 0.297 0.525 1
Tb7 0.531 0.703 0.475 1
Tb8 0.565 0.082 0.780 1
Tb9 0.703 0.531 0.975 1
Tb10 0.793 0.084 0.466 1
Tb11 0.916 0.207 0.034 1
Tb12 0.918 0.435 0.720 1
Y1 0.182 0.347 0.509 1
Y2 0.347 0.182 0.009 1
Y3 0.653 0.818 0.991 1
Y4 0.818 0.653 0.491 1
Er1 0.008 0.992 0.250 1
Er2 0.992 0.008 0.750 1
Mg1 0.295 0.705 0.750 1
Mg2 0.705 0.295 0.250 1
# calculated formation energy = 0.109 eV/atom
# uncorrected energy = -0.336 Ry per atom
# Fermi-level density of states = 1.611 states/eV/atom